# 1
The following is a DFT calculation (PBE-GGA) of HfNbGa2 after structural relaxation.

a b c (Å): 4.065 4.151 4.151
angles (deg): 90.00 90.00 90.00
Positions (direct):
Ga1 0.000 0.000 0.500
Ga2 0.000 0.500 0.000
Hf1 0.500 0.500 0.500
Nb1 0.500 0.000 0.000

Computed properties:
Space-group type: No. 123
Energy above the most stable polymorph in this dataset: 0.36 eV/f.u.
ΔE_f: -0.342 eV/atom
Crystal system: tetragonal
Energy: -6.861 eV/atom

=====

# 2
The following is a DFT calculation (PBE-GGA) of Hf2NbGa after structural relaxation.

a b c (Å): 3.463 3.463 6.472
angles (deg): 90.00 90.00 90.00
Positions (direct):
Hf1 0.000 0.000 0.750
Hf2 0.000 0.000 0.250
Nb1 0.500 0.500 0.500
Ga1 0.500 0.500 0.000

Computed properties:
Space-group type: No. 123
ΔE_f: -0.251 eV/atom
Crystal system: tetragonal
Energy: -8.501 eV/atom

=====

# 3
The following is a DFT calculation (PBE-GGA) of HfNbGa3 after structural relaxation.

a b c (Å): 4.943 4.943 4.943
angles (deg): 90.00 90.00 90.00
Positions (direct):
Ga1 0.000 0.500 0.000
Ga2 0.000 0.000 0.500
Ga3 0.500 0.000 0.000
Nb1 0.500 0.500 0.500
Hf1 0.000 0.000 0.000

Computed properties:
Space-group type: No. 221
Energy above the most stable polymorph in this dataset: 6.72 eV/f.u.
ΔE_f: 1.117 eV/atom
Crystal system: cubic
Energy: -4.703 eV/atom

=====

# 4
The following is a DFT calculation (PBE-GGA) of Hf3NbGa after structural relaxation.

a b c (Å): 6.813 6.813 6.813
angles (deg): 88.45 117.42 124.50
Positions (direct):
Nb1 0.032 0.531 0.001
Nb2 0.531 0.031 0.999
Hf1 0.531 0.754 0.722
Hf2 0.531 0.309 0.276
Hf3 0.033 0.254 0.724
Hf4 0.974 0.781 0.693
Hf5 0.033 0.809 0.278
Hf6 0.088 0.281 0.307
Ga1 0.589 0.782 0.307
Ga2 0.475 0.282 0.693

Computed properties:
Space-group type: No. 46
Energy above the most stable polymorph in this dataset: 0.00 eV/f.u.
ΔE_f: 0.346 eV/atom
Crystal system: orthorhombic
Energy: -8.245 eV/atom

=====

- What is the energy in the fourth record?
  -8.245 eV/atom

=====

- What is the formula in the first record?
  HfNbGa2

=====

- The lowest energy belongs to which entry?
  Hf2NbGa

=====

Repeat the third record exactly.
The following is a DFT calculation (PBE-GGA) of HfNbGa3 after structural relaxation.

a b c (Å): 4.943 4.943 4.943
angles (deg): 90.00 90.00 90.00
Positions (direct):
Ga1 0.000 0.500 0.000
Ga2 0.000 0.000 0.500
Ga3 0.500 0.000 0.000
Nb1 0.500 0.500 0.500
Hf1 0.000 0.000 0.000

Computed properties:
Space-group type: No. 221
Energy above the most stable polymorph in this dataset: 6.72 eV/f.u.
ΔE_f: 1.117 eV/atom
Crystal system: cubic
Energy: -4.703 eV/atom